VASP calculation (GGA-PBE) on a relaxed K16MgCd12 crystal.

Calculated values
**Final energy**: -30.5 eV for the cell shown
**V**: 1184.0 Å³ per cell

The structure in extended XYZ format:
```
29
Lattice="6.757 -8.832 0.000 6.757 8.832 0.000 -5.011 0.000 9.921" Properties=species:S:1:pos:R:3 pbc="T T T"
K 0.000 0.000 0.000
K 0.495 5.849 7.880
K -1.805 0.000 3.776
K 2.810 3.689 0.376
K 2.471 5.496 3.844
K 3.558 0.000 0.573
K 3.323 3.314 6.717
K 0.877 0.000 6.641
K 6.870 2.227 0.281
K 2.810 -3.689 0.376
K 5.437 1.925 4.040
K 2.471 -5.496 3.844
K 6.870 -2.227 0.281
K 0.495 -5.849 7.880
K 5.437 -1.925 4.040
K 3.323 -3.314 6.717
Mg 4.831 0.000 8.085
Cd 1.477 1.567 3.342
Cd 4.194 7.200 7.013
Cd 5.865 5.637 2.034
Cd 1.477 -1.567 3.342
Cd 6.196 5.656 5.221
Cd 10.335 1.568 0.783
Cd 8.362 0.000 2.681
Cd 5.865 -5.637 2.034
Cd 8.506 0.000 5.764
Cd 10.335 -1.568 0.783
Cd 6.196 -5.656 5.221
Cd 4.194 -7.200 7.013
```



VASP calculation (GGA-PBE) on a relaxed Sm3Zn2Co7 crystal.

Calculated values
**Final energy**: -68.1 eV for the cell shown
**V**: 185.6 Å³ per cell

The structure in extended XYZ format:
```
12
Lattice="2.552 1.474 8.225 -2.552 1.474 8.225 0.000 -2.947 8.225" Properties=species:S:1:pos:R:3 pbc="T T T"
Sm 0.000 0.000 0.000
Sm 0.000 0.000 3.448
Sm 0.000 0.000 21.227
Zn 0.000 0.000 8.218
Zn 0.000 0.000 16.457
Co -1.269 -0.733 10.276
Co 0.000 -1.465 14.399
Co -1.269 0.733 14.399
Co 0.000 0.000 12.338
Co 1.269 -0.733 10.276
Co 0.000 1.465 10.276
Co 1.269 0.733 14.399
```



VASP calculation (GGA-PBE) on a relaxed Nd4Bi2Pd crystal.

Calculated values
**Final energy**: -36.0 eV for the cell shown
**V**: 245.9 Å³ per cell

The structure in extended XYZ format:
```
7
Lattice="8.122 -2.216 0.000 8.122 2.216 0.000 -3.427 0.000 6.831" Properties=species:S:1:pos:R:3 pbc="T T T"
Nd 0.361 0.000 2.942
Nd 6.152 0.000 0.163
Nd 6.665 0.000 6.668
Nd 12.456 0.000 3.890
Bi 3.386 0.000 1.813
Bi 9.430 0.000 5.019
Pd 0.000 0.000 0.000
```



VASP calculation (GGA-PBE) on a relaxed Sc2MnCl crystal.

Calculated values
**V**: 79.7 Å³ per cell
**Formation energy (no corrections)**: -0.176 eV/atom

The structure in extended XYZ format:
```
4
Lattice="-1.557 2.469 5.178 1.557 -2.469 5.178 1.557 2.469 -5.178" Properties=species:S:1:pos:R:3 pbc="T T T"
Sc 0.000 0.000 0.000
Sc 0.000 2.469 2.243
Mn 1.557 0.000 2.480
Cl 0.000 0.000 5.164
```



VASP calculation (GGA-PBE) on a relaxed AcHgTe crystal.

Calculated values
**V**: 215.7 Å³ per cell
**Formation energy (no corrections)**: -0.965 eV/atom

The structure in extended XYZ format:
```
6
Lattice="4.625 -2.665 0.000 4.625 2.665 0.000 -3.087 0.000 8.752" Properties=species:S:1:pos:R:3 pbc="T T T"
Ac -0.002 0.000 2.097
Ac 6.165 0.000 6.655
Hg 3.084 0.000 0.097
Hg 3.079 0.000 8.655
Te -0.005 0.000 5.569
Te 6.168 0.000 3.183
```



VASP calculation (GGA-PBE) on a relaxed CaRe2Si crystal.

Calculated values
**V**: 67.7 Å³ per cell
**Formation energy (no corrections)**: 0.683 eV/atom

The structure in extended XYZ format:
```
4
Lattice="-1.921 1.921 4.584 1.921 -1.921 4.584 1.921 1.921 -4.584" Properties=species:S:1:pos:R:3 pbc="T T T"
Ca 0.000 0.000 0.000
Re 1.921 0.000 2.292
Re 0.000 1.921 2.292
Si 0.000 0.000 4.584
```



VASP calculation (GGA-PBE) on a relaxed KAs3 crystal.

Calculated values
**Final energy**: -29.7 eV for the cell shown
**V**: 253.8 Å³ per cell

The structure in extended XYZ format:
```
8
Lattice="4.562 -7.311 0.000 4.562 7.311 0.000 0.000 0.000 3.805" Properties=species:S:1:pos:R:3 pbc="T T T"
K 4.562 5.306 2.854
K 4.562 -5.306 0.951
As 3.215 2.892 0.951
As 4.562 1.621 2.854
As 5.908 2.892 0.951
As 3.215 -2.892 2.854
As 4.562 -1.621 0.951
As 5.908 -2.892 2.854
```



VASP calculation (GGA-PBE) on a relaxed CePaP2N crystal.

Calculated values
**V**: 209.3 Å³ per cell
**Formation energy (no corrections)**: -1.306 eV/atom

The structure in extended XYZ format:
```
10
Lattice="3.922 0.000 0.000 0.000 3.922 0.000 0.000 0.000 13.604" Properties=species:S:1:pos:R:3 pbc="T T T"
Ce 0.980 0.980 1.619
Ce 2.941 2.941 11.984
Pa 0.980 0.980 8.006
Pa 2.941 2.941 5.597
P 0.980 0.980 4.332
P 0.980 0.980 12.328
P 2.941 2.941 1.276
P 2.941 2.941 9.271
N 0.980 2.941 6.802
N 2.941 0.980 6.802
```



VASP calculation (GGA-PBE) on a relaxed SnRh2S crystal.

Calculated values
**V**: 153.4 Å³ per cell
**Formation energy (no corrections)**: -0.208 eV/atom

The structure in extended XYZ format:
```
8
Lattice="-2.273 2.273 7.424 2.273 -2.273 7.424 2.273 2.273 -7.424" Properties=species:S:1:pos:R:3 pbc="T T T"
Sn 0.000 0.000 0.000
Sn 0.000 2.273 3.712
Rh 1.136 -0.767 5.568
Rh 1.506 1.136 1.856
Rh 1.136 3.039 -1.856
Rh 0.767 1.136 9.280
S 2.273 0.000 3.712
S 0.000 0.000 7.424
```



VASP calculation (GGA-PBE) on a relaxed Er6Zn5Ag crystal.

Calculated values
**Final energy**: -40.7 eV for the cell shown
**V**: 268.2 Å³ per cell

The structure in extended XYZ format:
```
12
Lattice="5.007 0.000 0.000 0.000 7.132 0.000 -2.495 0.000 7.511" Properties=species:S:1:pos:R:3 pbc="T T T"
Er 0.000 1.750 0.000
Er 0.000 5.382 0.000
Er 0.006 1.765 4.986
Er 0.006 5.368 4.986
Er 2.506 1.765 2.524
Er 2.506 5.368 2.524
Zn 0.003 0.000 2.507
Zn 0.001 3.566 2.532
Zn 2.503 0.000 0.000
Zn 2.511 3.566 4.978
Zn 2.509 0.000 5.004
Ag 2.503 3.566 0.000
```



VASP calculation (GGA-PBE) on a relaxed BaNpBe2O8 crystal.

Calculated values
**V**: 158.8 Å³ per cell
**Formation energy (no corrections)**: -2.233 eV/atom

The structure in extended XYZ format:
```
12
Lattice="4.099 -2.831 0.000 4.099 2.831 0.000 -3.407 0.000 6.841" Properties=species:S:1:pos:R:3 pbc="T T T"
Ba 0.000 0.000 0.000
Np -1.704 0.000 3.421
Be 1.349 0.000 4.835
Be 3.442 0.000 2.006
O 2.658 1.395 1.922
O 0.205 0.000 3.687
O 2.132 1.395 4.919
O 0.316 0.000 6.267
O 4.475 0.000 0.574
O 2.658 -1.395 1.922
O 4.586 0.000 3.154
O 2.132 -1.395 4.919
```



VASP calculation (GGA-PBE) on a relaxed Sc3Ga4Pt2 crystal.

Calculated values
**Final energy**: -51.4 eV for the cell shown
**V**: 158.1 Å³ per cell

The structure in extended XYZ format:
```
9
Lattice="4.890 -2.204 0.000 4.890 2.204 0.000 -3.861 0.000 7.334" Properties=species:S:1:pos:R:3 pbc="T T T"
Sc 0.000 0.000 0.000
Sc 2.025 0.000 2.414
Sc 3.895 0.000 4.920
Ga -0.755 0.000 3.085
Ga -0.736 0.000 7.166
Ga 6.656 0.000 0.168
Ga 6.675 0.000 4.249
Pt 1.021 0.000 5.314
Pt 4.899 0.000 2.020
```



VASP calculation (GGA-PBE) on a relaxed Tb4Pm crystal.

Calculated values
**Final energy**: -20.0 eV for the cell shown
**V**: 181.8 Å³ per cell

The structure in extended XYZ format:
```
5
Lattice="5.665 0.000 0.000 0.000 5.665 0.000 0.000 0.000 5.665" Properties=species:S:1:pos:R:3 pbc="T T T"
Tb 0.000 0.000 0.000
Tb 0.000 2.833 2.833
Tb 2.833 0.000 2.833
Tb 2.833 2.833 0.000
Pm 2.833 2.833 2.833
```



VASP calculation (GGA-PBE) on a relaxed Re2S2O crystal.

Calculated values
**V**: 133.9 Å³ per cell
**Formation energy (no corrections)**: 0.814 eV/atom

The structure in extended XYZ format:
```
10
Lattice="6.781 0.000 0.000 0.000 6.781 0.000 0.000 0.000 2.912" Properties=species:S:1:pos:R:3 pbc="T T T"
Re 1.017 2.373 0.000
Re 2.373 5.764 0.000
Re 4.408 1.017 0.000
Re 5.764 4.408 0.000
S 0.960 4.351 1.456
S 2.431 0.960 1.456
S 4.351 5.821 1.456
S 5.821 2.431 1.456
O 0.000 0.000 1.456
O 3.391 3.391 1.456
```



VASP calculation (GGA-PBE) on a relaxed ZrCoMo2 crystal.

Calculated values
**Final energy**: -36.1 eV for the cell shown
**V**: 62.9 Å³ per cell

The structure in extended XYZ format:
```
4
Lattice="0.000 3.157 3.157 3.157 0.000 3.157 3.157 3.157 0.000" Properties=species:S:1:pos:R:3 pbc="T T T"
Zr 0.000 0.000 0.000
Co 3.157 3.157 3.157
Mo 1.578 1.578 1.578
Mo 4.735 4.735 4.735
```



VASP calculation (GGA-PBE) on a relaxed ZrSbBr4 crystal.

Calculated values
**V**: 158.1 Å³ per cell
**Formation energy (no corrections)**: 0.597 eV/atom

The structure in extended XYZ format:
```
6
Lattice="0.000 4.292 4.292 4.292 0.000 4.292 4.292 4.292 0.000" Properties=species:S:1:pos:R:3 pbc="T T T"
Zr 0.000 0.000 0.000
Sb 2.146 2.146 2.146
Br 5.370 3.213 3.213
Br 3.213 5.370 3.213
Br 3.213 3.213 5.370
Br 5.370 5.370 5.370
```



VASP calculation (GGA-PBE) on a relaxed CaCd2RhO6 crystal.

Calculated values
**V**: 261.8 Å³ per cell
**Formation energy (no corrections)**: -1.162 eV/atom

The structure in extended XYZ format:
```
20
Lattice="5.632 0.000 0.000 0.000 5.732 0.000 -5.567 0.000 8.111" Properties=species:S:1:pos:R:3 pbc="T T T"
Ca 0.000 0.000 0.000
Ca -2.784 2.866 4.055
Cd -2.779 0.238 6.005
Cd 0.005 2.628 1.949
Cd 0.059 3.104 6.161
Cd 2.843 5.494 2.106
Rh 0.032 0.000 4.055
Rh 2.816 2.866 0.000
O -0.606 0.456 2.215
O -3.389 2.410 6.271
O 1.154 3.797 0.370
O -1.630 4.801 4.425
O 1.959 1.224 0.628
O -0.825 1.642 4.684
O 0.890 4.090 3.427
O -1.894 4.508 7.482
O 1.694 0.931 3.685
O -1.090 1.935 7.741
O 3.454 3.322 1.840
O 0.670 5.276 5.896
```



VASP calculation (GGA-PBE) on a relaxed Na3Er3PuSe8 crystal.

Calculated values
**V**: 412.6 Å³ per cell
**Formation energy (no corrections)**: -1.590 eV/atom

The structure in extended XYZ format:
```
15
Lattice="4.113 2.374 7.042 -4.113 2.374 7.042 0.000 -4.749 7.042" Properties=species:S:1:pos:R:3 pbc="T T T"
Na -2.056 -1.187 7.042
Na -2.056 1.187 14.083
Na 0.000 2.374 7.042
Er -4.113 0.000 10.562
Er -2.056 1.187 3.521
Er 2.056 1.187 3.521
Pu 0.000 0.000 10.562
Se -2.052 -1.185 12.136
Se 0.000 0.000 5.125
Se 0.000 -2.370 8.988
Se -2.052 1.185 8.988
Se 2.052 -1.185 12.136
Se 0.000 2.370 12.136
Se 0.000 0.000 16.000
Se 2.052 1.185 8.988
```



VASP calculation (GGA-PBE) on a relaxed CrTc2Ni crystal.

Calculated values
**Final energy**: -35.6 eV for the cell shown
**V**: 52.2 Å³ per cell

The structure in extended XYZ format:
```
4
Lattice="2.633 0.000 0.000 0.000 2.633 0.000 0.000 0.000 7.525" Properties=species:S:1:pos:R:3 pbc="T T T"
Cr 0.000 0.000 0.000
Tc 0.000 0.000 3.618
Tc 1.317 1.317 5.658
Ni 1.317 1.317 1.717
```



VASP calculation (GGA-PBE) on a relaxed Ba2Fe4Se crystal.

Calculated values
**V**: 184.2 Å³ per cell
**Formation energy (no corrections)**: 0.659 eV/atom

The structure in extended XYZ format:
```
7
Lattice="-2.281 2.281 8.854 2.281 -2.281 8.854 2.281 2.281 -8.854" Properties=species:S:1:pos:R:3 pbc="T T T"
Ba 0.000 0.000 2.794
Ba 0.000 0.000 14.914
Fe 2.281 0.000 0.000
Fe 0.000 0.000 6.605
Fe 0.000 2.281 0.000
Fe 0.000 0.000 11.104
Se 0.000 0.000 8.854
```



VASP calculation (GGA-PBE) on a relaxed KBa4Hg5 crystal.

Calculated values
**Final energy**: -14.8 eV for the cell shown
**V**: 373.3 Å³ per cell

The structure in extended XYZ format:
```
10
Lattice="4.182 0.000 0.000 0.000 4.182 0.000 0.000 0.000 21.350" Properties=species:S:1:pos:R:3 pbc="T T T"
K 0.000 0.000 0.000
Ba 0.000 0.000 4.324
Ba 0.000 0.000 8.562
Ba 0.000 0.000 12.787
Ba 0.000 0.000 17.026
Hg 2.091 2.091 2.298
Hg 2.091 2.091 6.419
Hg 2.091 2.091 10.675
Hg 2.091 2.091 14.931
Hg 2.091 2.091 19.052
```



VASP calculation (GGA-PBE) on a relaxed La5Nd3Ho3 crystal.

Calculated values
**Final energy**: -49.5 eV for the cell shown
**V**: 400.6 Å³ per cell

The structure in extended XYZ format:
```
11
Lattice="11.516 0.000 0.000 -5.758 9.973 0.000 0.000 0.000 3.488" Properties=species:S:1:pos:R:3 pbc="T T T"
La -3.821 6.618 0.000
La 0.000 6.649 0.000
La 1.937 3.355 0.000
La 7.642 0.000 0.000
La 5.758 3.324 0.000
Nd -2.311 4.002 1.744
Nd 4.621 0.000 1.744
Nd 3.447 5.971 1.744
Ho -0.914 1.583 0.000
Ho 1.828 0.000 0.000
Ho 4.844 8.390 0.000
```